Entry 1:
{
  "formula": "HfNiIr3",
  "functional": "PBE",
  "state": "relaxed",
  "lattice": [[-0.292, 3.294, 3.459], [1.572, -3.207, 3.186], [4.511, 1.331, -0.886]],
  "species": ["Ir", "Ir", "Ir", "Hf", "Ni"],
  "frac_coords": [[0.500, 0.000, 0.000], [0.000, 0.500, 0.000], [0.000, 0.000, 0.500], [0.000, 0.000, 0.000], [0.500, 0.500, 0.500]],
  "delta_e_f_kj_per_mol_atoms": 177.14,
  "total_magnetization_mub_per_cell": 0.0,
  "energy_ev_per_atom": -6.628
}

***

Entry 2:
{
  "formula": "Hf2Ni3Ir3",
  "functional": "PBE",
  "state": "relaxed",
  "lattice": [[-3.311, -1.717, -1.087], [1.993, -2.330, -2.394], [0.798, -5.104, 5.631]],
  "species": ["Ir", "Ir", "Ir", "Ni", "Ni", "Ni", "Hf", "Hf"],
  "frac_coords": [[0.000, 0.500, 0.000], [0.500, 0.000, 0.500], [0.000, 0.500, 0.500], [0.500, 0.500, 0.752], [0.500, 0.500, 0.248], [0.500, 0.000, 0.000], [0.000, 0.000, 0.246], [0.000, 0.000, 0.754]],
  "delta_e_f_kj_per_mol_atoms": -63.21,
  "total_magnetization_mub_per_cell": 0.0,
  "energy_ev_per_atom": -8.634
}

***

Entry 3:
{
  "formula": "Hf8Ni2Ir",
  "functional": "PBE",
  "state": "relaxed",
  "lattice": [[5.003, -0.177, -0.265], [-1.087, 7.144, -0.436], [-1.087, -3.154, 6.425]],
  "species": ["Ir", "Hf", "Hf", "Hf", "Hf", "Hf", "Hf", "Hf", "Hf", "Ni", "Ni"],
  "frac_coords": [[0.500, 0.000, 0.000], [0.082, 0.335, 0.095], [0.682, 0.382, 0.382], [0.318, 0.618, 0.618], [0.918, 0.665, 0.905], [0.918, 0.905, 0.665], [0.500, 0.779, 0.221], [0.500, 0.221, 0.779], [0.082, 0.095, 0.335], [0.000, 0.704, 0.296], [0.000, 0.296, 0.704]],
  "delta_e_f_kj_per_mol_atoms": -19.86,
  "total_magnetization_mub_per_cell": 0.0,
  "energy_ev_per_atom": -9.301
}